Ag12I3O5 | PBE | relaxed

Cell and atoms, written as POSCAR:
```
Ag12I3O5
1.0
13.3818 0.0000 0.0000
-4.4606 12.6165 0.0000
-4.4606 -6.3083 10.9262
I Ag O
12 48 20
direct
0.1250 0.2500 0.8750
0.3750 0.6250 0.2500
0.8750 0.7500 0.1250
0.2500 0.6250 0.8750
0.6250 0.3750 0.7500
0.6250 0.2500 0.3750
0.3750 0.7500 0.6250
0.2500 0.1250 0.3750
0.7500 0.3750 0.1250
0.8750 0.1250 0.2500
0.1250 0.8750 0.7500
0.7500 0.8750 0.6250
0.4443 0.1015 0.6248
0.3985 0.3752 0.0557
0.6572 0.5557 0.1805
0.1805 0.0557 0.6572
0.6015 0.6248 0.9443
0.1572 0.4767 0.6015
0.5233 0.8428 0.8985
0.5557 0.8985 0.3752
0.0557 0.8752 0.3985
0.0233 0.6248 0.1805
0.3195 0.8428 0.4443
0.1248 0.1805 0.5233
0.3428 0.8985 0.0233
0.8752 0.0557 0.8985
0.9443 0.8195 0.8428
0.6248 0.6015 0.4443
0.0557 0.1805 0.1572
0.8752 0.8195 0.4767
0.5233 0.6805 0.1248
0.9767 0.3752 0.8195
0.9443 0.1248 0.6015
0.4767 0.1572 0.1015
0.3195 0.4767 0.3752
0.5557 0.6572 0.6805
0.8985 0.5557 0.8752
0.6248 0.0233 0.6805
0.1015 0.6572 0.4767
0.8428 0.5233 0.3985
0.4443 0.3428 0.3195
0.6572 0.1015 0.9767
0.1805 0.1248 0.0233
0.6805 0.5233 0.6248
0.9767 0.6015 0.6572
0.3985 0.0233 0.8428
0.1572 0.6805 0.0557
0.0233 0.3985 0.3428
0.1015 0.4443 0.1248
0.8428 0.3195 0.9443
0.1248 0.9443 0.1015
0.6805 0.1572 0.5557
0.3428 0.4443 0.8195
0.8195 0.8752 0.9767
0.6015 0.9767 0.1572
0.3752 0.3985 0.5557
0.3752 0.9767 0.3195
0.4767 0.3195 0.8752
0.8985 0.3428 0.5233
0.8195 0.9443 0.3428
0.2500 0.3750 0.6250
0.5000 0.5000 0.5000
0.5000 0.0000 0.5000
0.3750 0.1250 0.7500
0.6250 0.7500 0.8750
0.5000 0.0000 0.0000
0.0000 0.0000 0.5000
0.1250 0.3750 0.2500
0.2500 0.8750 0.1250
0.3750 0.2500 0.1250
0.8750 0.6250 0.7500
0.6250 0.8750 0.2500
0.5000 0.5000 0.0000
0.8750 0.2500 0.6250
0.1250 0.7500 0.3750
0.0000 0.0000 0.0000
0.0000 0.5000 0.5000
0.7500 0.6250 0.3750
0.0000 0.5000 0.0000
0.7500 0.1250 0.8750
```

Values from the calculation:
DOS(E_F), states/eV/atom: 0.421
Uncorrected energy, Ry per atom: -0.23358
Uncorrected formation energy, meV per atom: 4.8